# Tl3Ag12Se5

Tl3Ag12Se5 after structural relaxation (PBE, the Alexandria database).

Structure (CIF):
```
data_Tl3Ag12Se5
_chemical_formula_sum 'Tl24 Ag96 Se40'
_space_group_name_H-M_alt 'I a -3 d'
_space_group_IT_number 230
_space_group_name_Hall '-I 4bd 2c 3'
_cell_length_a 15.964
_cell_length_b 15.964
_cell_length_c 15.964
_cell_angle_alpha 90.00
_cell_angle_beta 90.00
_cell_angle_gamma 90.00
loop_
_atom_site_label
_atom_site_fract_x
_atom_site_fract_y
_atom_site_fract_z
Tl1 0.000 0.250 0.125
Ag1 0.015 0.070 0.652
Se1 0.000 0.000 0.000
Se2 0.000 0.250 0.375
```

The calculation puts the total energy at -2.8215 eV per atom. The formation energy from raw total energies comes out at 0.115 eV/atom. As for the magnetization: 0.00 μB per formula unit. The value obtained for the volume is 25.4 Å³/atom.